No. 1
Here is a relaxed structure of Rb2DySO6 from Alexandria. Energies are from PBE.

Structure (CIF):
```
data_Rb2DySO6
_chemical_formula_sum 'Rb2 Dy1 S1 O6'
_cell_length_a 6.3939
_cell_length_b 6.3939
_cell_length_c 5.5942
_cell_angle_alpha 90.00
_cell_angle_beta 90.00
_cell_angle_gamma 120.00
_space_group_name_H-M_alt 'P -3 m 1'
_space_group_IT_number 164
_space_group_name_Hall '-P 3 2"'
loop_
_atom_site_label
_atom_site_type_symbol
_atom_site_fract_x
_atom_site_fract_y
_atom_site_fract_z
Rb1 Rb 0.3333 0.6667 0.3817
Dy1 Dy 0.0000 0.0000 0.0000
S1 S 0.0000 0.0000 0.5000
O1 O 0.1245 0.2489 0.6773
```

Computed properties:
The value obtained for the density of states at the Fermi level is 1.60 states/eV per cell. The formation energy without anion corrections comes out at -16.125 eV per formula unit. The total magnetization comes out at 1.0 μB per formula unit.


No. 2
Here is a relaxed structure of Rb3Dy3SbO8 from Alexandria. Energies are from PBE.

Structure (CIF):
```
data_Rb3Dy3SbO8
_chemical_formula_sum 'Rb9 Dy9 Sb3 O24'
_cell_length_a 6.9174
_cell_length_b 6.9174
_cell_length_c 19.9401
_cell_angle_alpha 90.00
_cell_angle_beta 90.00
_cell_angle_gamma 120.00
_space_group_name_H-M_alt 'R -3 m'
_space_group_IT_number 166
_space_group_name_Hall '-R 3 2"'
loop_
_atom_site_label
_atom_site_type_symbol
_atom_site_fract_x
_atom_site_fract_y
_atom_site_fract_z
Rb1 Rb 0.0000 0.5000 0.0000
Dy1 Dy 0.0000 0.5000 0.5000
Sb1 Sb 0.0000 0.0000 0.5000
O1 O 0.0000 0.0000 0.2230
O2 O 0.0188 0.5094 0.2221
```

Computed properties:
The value obtained for the density of states at the Fermi level is 5.71 states/eV per cell. The formation energy without anion corrections comes out at -36.637 eV per formula unit. The total magnetization comes out at 0.0 μB per formula unit.


No. 3
Here is a relaxed structure of Rb2Dy2SbO6 from Alexandria. Energies are from PBE.

Structure (CIF):
```
data_Rb2Dy2SbO6
_chemical_formula_sum 'Rb4 Dy4 Sb2 O12'
_cell_length_a 5.9633
_cell_length_b 10.2920
_cell_length_c 6.9671
_cell_angle_alpha 90.00
_cell_angle_beta 105.77
_cell_angle_gamma 90.00
_space_group_name_H-M_alt 'C 1 2/m 1'
_space_group_IT_number 12
_space_group_name_Hall '-C 2y'
loop_
_atom_site_label
_atom_site_type_symbol
_atom_site_fract_x
_atom_site_fract_y
_atom_site_fract_z
Rb1 Rb 0.0000 0.1652 0.0000
Dy1 Dy 0.0000 0.3345 0.5000
Sb1 Sb 0.0000 0.0000 0.5000
O1 O 0.2106 0.1623 0.6652
O2 O 0.2392 0.5000 0.6657
```

Computed properties:
The value obtained for the density of states at the Fermi level is 10.28 states/eV per cell. The formation energy without anion corrections comes out at -25.483 eV per formula unit. The total magnetization comes out at 0.5 μB per formula unit.


No. 4
Here is a relaxed structure of Rb3DySb2O9 from Alexandria. Energies are from PBE.

Structure (CIF):
```
data_Rb3DySb2O9
_chemical_formula_sum 'Rb3 Dy1 Sb2 O9'
_cell_length_a 5.9620
_cell_length_b 5.9620
_cell_length_c 7.3415
_cell_angle_alpha 90.00
_cell_angle_beta 90.00
_cell_angle_gamma 120.00
_space_group_name_H-M_alt 'P -3 m 1'
_space_group_IT_number 164
_space_group_name_Hall '-P 3 2"'
loop_
_atom_site_label
_atom_site_type_symbol
_atom_site_fract_x
_atom_site_fract_y
_atom_site_fract_z
Rb1 Rb 0.0000 0.0000 0.0000
Rb2 Rb 0.3333 0.6667 0.6638
Dy1 Dy 0.0000 0.0000 0.5000
Sb1 Sb 0.3333 0.6667 0.1605
O1 O 0.0000 0.5000 0.0000
O2 O 0.1760 0.3521 0.3153
```

Computed properties:
The value obtained for the density of states at the Fermi level is 9.77 states/eV per cell. The formation energy without anion corrections comes out at -24.956 eV per formula unit. The total magnetization comes out at 2.0 μB per formula unit.


No. 5
Here is a relaxed structure of RbDySe2O8 from Alexandria. Energies are from PBE.

Structure (CIF):
```
data_RbDySe2O8
_chemical_formula_sum 'Rb1 Dy1 Se2 O8'
_cell_length_a 5.5209
_cell_length_b 5.5209
_cell_length_c 8.7111
_cell_angle_alpha 90.00
_cell_angle_beta 90.00
_cell_angle_gamma 120.00
_space_group_name_H-M_alt 'P -3'
_space_group_IT_number 147
_space_group_name_Hall '-P 3'
loop_
_atom_site_label
_atom_site_type_symbol
_atom_site_fract_x
_atom_site_fract_y
_atom_site_fract_z
Rb1 Rb 0.0000 0.0000 0.0000
Dy1 Dy 0.0000 0.0000 0.5000
Se1 Se 0.3333 0.6667 0.7273
O1 O 0.0866 0.3547 0.6602
O2 O 0.3333 0.6667 0.9159
```

Computed properties:
The value obtained for the density of states at the Fermi level is 0.00 states/eV per cell. The formation energy without anion corrections comes out at -18.664 eV per formula unit. The total magnetization comes out at 0.0 μB per formula unit.


No. 6
Here is a relaxed structure of Rb2DySiO4 from Alexandria. Energies are from PBE.

Structure (CIF):
```
data_Rb2DySiO4
_chemical_formula_sum 'Rb16 Dy8 Si8 O32'
_cell_length_a 5.6426
_cell_length_b 12.7692
_cell_length_c 23.8900
_cell_angle_alpha 90.00
_cell_angle_beta 90.00
_cell_angle_gamma 90.00
_space_group_name_H-M_alt 'F d d d'
_space_group_IT_number 70
loop_
_space_group_symop_operation_xyz
'x,y,z'
'-x,-y,-z'
'-x+1/4,-y+1/4,z'
'x+1/4,y+1/4,-z'
'x,-y+1/4,-z+1/4'
'-x,y+1/4,z+1/4'
'-x+1/4,y,-z+1/4'
'x+1/4,-y,z+1/4'
'x,y+1/2,z+1/2'
'-x,-y+1/2,-z+1/2'
'-x+1/4,-y+3/4,z+1/2'
'x+1/4,y+3/4,-z+1/2'
'x,-y+3/4,-z+3/4'
'-x,y+3/4,z+3/4'
'-x+1/4,y+1/2,-z+3/4'
'x+1/4,-y+1/2,z+3/4'
'x+1/2,y,z+1/2'
'-x+1/2,-y,-z+1/2'
'-x+3/4,-y+1/4,z+1/2'
'x+3/4,y+1/4,-z+1/2'
'x+1/2,-y+1/4,-z+3/4'
'-x+1/2,y+1/4,z+3/4'
'-x+3/4,y,-z+3/4'
'x+3/4,-y,z+3/4'
'x+1/2,y+1/2,z'
'-x+1/2,-y+1/2,-z'
'-x+3/4,-y+3/4,z'
'x+3/4,y+3/4,-z'
'x+1/2,-y+3/4,-z+1/4'
'-x+1/2,y+3/4,z+1/4'
'-x+3/4,y+1/2,-z+1/4'
'x+3/4,-y+1/2,z+1/4'
loop_
_atom_site_label
_atom_site_type_symbol
_atom_site_fract_x
_atom_site_fract_y
_atom_site_fract_z
Rb1 Rb 0.1250 0.1250 0.3060
Dy1 Dy 0.1250 0.1250 0.1250
Si1 Si 0.1250 0.1250 0.6250
O1 O 0.0619 0.2987 0.8391
```

Computed properties:
The value obtained for the density of states at the Fermi level is 16.94 states/eV per cell. The formation energy without anion corrections comes out at -17.518 eV per formula unit. The total magnetization comes out at 0.0 μB per formula unit.


No. 7
Here is a relaxed structure of RbDySiO4 from Alexandria. Energies are from PBE.

Structure (CIF):
```
data_RbDySiO4
_chemical_formula_sum 'Rb2 Dy2 Si2 O8'
_cell_length_a 5.6096
_cell_length_b 5.7231
_cell_length_c 7.6472
_cell_angle_alpha 90.00
_cell_angle_beta 107.09
_cell_angle_gamma 90.00
_space_group_name_H-M_alt 'P 1 21/m 1'
_space_group_IT_number 11
_space_group_name_Hall '-P 2yb'
loop_
_atom_site_label
_atom_site_type_symbol
_atom_site_fract_x
_atom_site_fract_y
_atom_site_fract_z
Rb1 Rb 0.1931 0.2500 0.4299
Dy1 Dy 0.2855 0.2500 0.9590
Si1 Si 0.2540 0.7500 0.1563
O1 O 0.0638 0.7500 0.9456
O2 O 0.0733 0.7500 0.2894
O3 O 0.4493 0.5261 0.1755
```

Computed properties:
The value obtained for the density of states at the Fermi level is 0.00 states/eV per cell. The formation energy without anion corrections comes out at -20.235 eV per formula unit. The total magnetization comes out at 0.0 μB per formula unit.


No. 8
Here is a relaxed structure of RbDySi2O6 from Alexandria. Energies are from PBE.

Structure (CIF):
```
data_RbDySi2O6
_chemical_formula_sum 'Rb4 Dy4 Si8 O24'
_cell_length_a 10.3967
_cell_length_b 9.9749
_cell_length_c 5.5161
_cell_angle_alpha 90.00
_cell_angle_beta 101.91
_cell_angle_gamma 90.00
_space_group_name_H-M_alt 'C 1 2/c 1'
_space_group_IT_number 15
_space_group_name_Hall '-C 2yc'
loop_
_atom_site_label
_atom_site_type_symbol
_atom_site_fract_x
_atom_site_fract_y
_atom_site_fract_z
Rb1 Rb 0.0000 0.1793 0.2500
Dy1 Dy 0.0000 0.3837 0.7500
Si1 Si 0.2211 0.0813 0.7973
O1 O 0.1178 0.4320 0.1369
O2 O 0.1512 0.2262 0.7468
O3 O 0.1694 0.0083 0.0354
```

Computed properties:
The value obtained for the density of states at the Fermi level is 0.00 states/eV per cell. The formation energy without anion corrections comes out at -28.788 eV per formula unit. The total magnetization comes out at 0.0 μB per formula unit.